Record 1
{"formula": "Ca2HgGe2Rh5", "functional": "PBE", "state": "optimized geometry", "lattice": [[10.028, 0.000, 0.000], [0.000, 10.028, 0.000], [0.000, 0.000, 3.511]], "species": ["Ca", "Ca", "Ca", "Ca", "Hg", "Hg", "Ge", "Ge", "Ge", "Ge", "Rh", "Rh", "Rh", "Rh", "Rh", "Rh", "Rh", "Rh", "Rh", "Rh"], "frac_coords": [[0.173, 0.327, 0.000], [0.327, 0.827, 0.000], [0.673, 0.173, 0.000], [0.827, 0.673, 0.000], [0.000, 0.000, 0.000], [0.500, 0.500, 0.000], [0.126, 0.626, 0.000], [0.374, 0.126, 0.000], [0.626, 0.874, 0.000], [0.874, 0.374, 0.000], [0.000, 0.500, 0.500], [0.068, 0.787, 0.500], [0.213, 0.068, 0.500], [0.287, 0.568, 0.500], [0.432, 0.287, 0.500], [0.500, 0.000, 0.500], [0.568, 0.713, 0.500], [0.713, 0.432, 0.500], [0.787, 0.932, 0.500], [0.932, 0.213, 0.500]], "ef_ev_per_atom": -0.542, "dft_energy_ev_per_atom": -5.572}

Record 2
{"formula": "MoSe2Br", "functional": "PBE", "state": "optimized geometry", "lattice": [[3.046, 0.000, 0.000], [0.000, 3.046, 0.000], [0.000, 0.000, 9.660]], "species": ["Mo", "Se", "Se", "Br"], "frac_coords": [[0.000, 0.000, 0.000], [0.000, 0.000, 0.492], [0.500, 0.500, 0.159], [0.500, 0.500, 0.824]], "e_form_raw_ev_per_atom": 0.0702, "de_polymorph_ev_per_fu": 1.41, "dft_energy_ev_per_atom": -4.798}

Record 3
{"formula": "Pr3Nd4In", "functional": "PBE", "state": "optimized geometry", "lattice": [[11.629, 0.000, 0.000], [0.000, 7.293, 0.000], [0.000, 0.000, 6.345]], "species": ["Pr", "Pr", "Pr", "Pr", "Pr", "Pr", "Nd", "Nd", "Nd", "Nd", "Nd", "Nd", "Nd", "Nd", "In", "In"], "frac_coords": [[0.000, 0.126, 0.000], [0.244, 0.116, 0.670], [0.256, 0.884, 0.170], [0.500, 0.874, 0.500], [0.744, 0.884, 0.170], [0.756, 0.116, 0.670], [0.000, 0.373, 0.470], [0.000, 0.631, 0.015], [0.231, 0.632, 0.654], [0.269, 0.368, 0.154], [0.500, 0.369, 0.515], [0.500, 0.627, 0.970], [0.731, 0.368, 0.154], [0.769, 0.632, 0.654], [0.000, 0.881, 0.494], [0.500, 0.119, 0.994]], "ef_ev_per_atom": -0.102, "de_polymorph_ev_per_fu": 0.00, "dft_energy_ev_per_atom": -4.621}

So what do the calculations give for density of states at the Fermi level? Going down the list: 5.4 3.0 9.5 states/eV/f.u..
So what do the calculations give for M_tot? Going down the list: 0.00 0.00 0.00 μB/cell.